1.
Computed, not measured: Nd7HoEr2 after structural relaxation at the PBE-GGA level of DFT.

```
Nd7HoEr2
1.0
4.426 -8.289 0.000
4.426 8.289 0.000
0.000 0.000 5.645
Nd Ho Er
7 1 2
Direct
0.000 0.000 0.000 Nd
0.208 0.434 0.000 Nd
0.283 0.717 0.500 Nd
0.434 0.208 0.000 Nd
0.566 0.792 0.000 Nd
0.717 0.283 0.500 Nd
0.792 0.566 0.000 Nd
0.500 0.500 0.500 Ho
0.205 0.795 0.000 Er
0.795 0.205 0.000 Er
```

Summary:
* space group: Cmmm (65)
* magnetic moment: 0.000 μB/cell
* DFT formation energy: 618 kJ/mol of formula units
* E_tot: -40.67 eV per cell

2.
Computed, not measured: Nd3Ho12Er after structural relaxation at the PBE-GGA level of DFT.

```
Nd3Ho12Er
1.0
5.022 0.000 0.000
0.000 5.022 0.000
0.000 0.000 20.100
Nd Ho Er
3 12 1
Direct
0.000 0.000 0.000 Nd
0.000 0.000 0.251 Nd
0.000 0.000 0.749 Nd
0.000 0.500 0.126 Ho
0.000 0.500 0.377 Ho
0.000 0.500 0.623 Ho
0.000 0.500 0.874 Ho
0.500 0.000 0.126 Ho
0.500 0.000 0.377 Ho
0.500 0.000 0.623 Ho
0.500 0.000 0.874 Ho
0.500 0.500 0.000 Ho
0.500 0.500 0.252 Ho
0.500 0.500 0.500 Ho
0.500 0.500 0.748 Ho
0.000 0.000 0.500 Er
```

Summary:
* space group: P4/mmm (123)
* magnetic moment: 0.000 μB/cell
* DFT formation energy: 34 kJ/mol of formula units
* E_tot: -73.45 eV per cell

3.
Computed, not measured: NdHo4Er after structural relaxation at the PBE-GGA level of DFT.

```
NdHo4Er
1.0
-2.825 11.182 3.039
2.825 -11.182 3.039
2.825 11.182 -3.039
Nd Ho Er
2 8 2
Direct
0.000 0.000 0.000 Nd
0.500 0.000 0.500 Nd
0.091 0.922 0.169 Ho
0.159 0.567 0.592 Ho
0.253 0.922 0.331 Ho
0.475 0.567 0.908 Ho
0.525 0.433 0.092 Ho
0.747 0.078 0.669 Ho
0.841 0.433 0.408 Ho
0.909 0.078 0.831 Ho
0.328 0.578 0.750 Er
0.672 0.422 0.250 Er
```

Summary:
* space group: Imma (74)
* magnetic moment: 0.000 μB/cell
* DFT formation energy: 30 kJ/mol of formula units
* E_tot: -54.66 eV per cell

4.
Computed, not measured: NdHo2Er8 after structural relaxation at the PBE-GGA level of DFT.

```
NdHo2Er8
1.0
-2.720 4.024 7.937
2.720 -4.024 7.937
2.720 4.024 -7.937
Nd Ho Er
1 2 8
Direct
0.000 0.000 0.000 Nd
0.300 0.300 0.000 Ho
0.700 0.700 0.000 Ho
0.153 0.860 0.293 Er
0.163 0.663 0.500 Er
0.295 0.500 0.795 Er
0.433 0.140 0.293 Er
0.567 0.860 0.707 Er
0.705 0.500 0.205 Er
0.837 0.337 0.500 Er
0.847 0.140 0.707 Er
```

Summary:
* space group: Immm (71)
* magnetic moment: 0.000 μB/cell
* DFT formation energy: 123 kJ/mol of formula units
* E_tot: -49.15 eV per cell

5.
Computed, not measured: Nd2HoEr3 after structural relaxation at the PBE-GGA level of DFT.

```
Nd2HoEr3
1.0
8.509 -2.779 0.000
8.509 2.779 0.000
-5.720 0.000 8.218
Nd Ho Er
4 2 6
Direct
0.009 0.009 0.358 Nd
0.270 0.270 0.628 Nd
0.730 0.730 0.372 Nd
0.991 0.991 0.642 Nd
0.367 0.367 0.362 Ho
0.633 0.633 0.638 Ho
0.113 0.113 0.154 Er
0.209 0.209 0.925 Er
0.451 0.451 0.106 Er
0.549 0.549 0.894 Er
0.791 0.791 0.075 Er
0.887 0.887 0.846 Er
```

Summary:
* space group: C2/m (12)
* magnetic moment: 0.000 μB/cell
* DFT formation energy: 57 kJ/mol of formula units
* E_tot: -54.42 eV per cell

6.
Computed, not measured: Nd3HoEr after structural relaxation at the PBE-GGA level of DFT.

```
Nd3HoEr
1.0
6.426 -8.505 0.000
6.426 8.505 0.000
-2.791 0.000 6.272
Nd Ho Er
12 4 4
Direct
0.015 0.352 0.586 Nd
0.038 0.744 0.956 Nd
0.256 0.962 0.544 Nd
0.313 0.349 0.415 Nd
0.349 0.313 0.915 Nd
0.352 0.015 0.086 Nd
0.648 0.985 0.914 Nd
0.651 0.687 0.085 Nd
0.687 0.651 0.585 Nd
0.744 0.038 0.456 Nd
0.962 0.256 0.044 Nd
0.985 0.648 0.414 Nd
0.011 0.989 0.750 Ho
0.321 0.679 0.750 Ho
0.679 0.321 0.250 Ho
0.989 0.011 0.250 Ho
0.191 0.547 0.119 Er
0.453 0.809 0.381 Er
0.547 0.191 0.619 Er
0.809 0.453 0.881 Er
```

Summary:
* space group: C2/c (15)
* magnetic moment: 0.000 μB/cell
* DFT formation energy: 82 kJ/mol of formula units
* E_tot: -90.36 eV per cell

7.
Computed, not measured: Nd5Ho2Er4 after structural relaxation at the PBE-GGA level of DFT.

```
Nd5Ho2Er4
1.0
8.818 -1.774 0.000
8.818 1.774 0.000
-0.809 0.000 11.586
Nd Ho Er
5 2 4
Direct
0.000 0.000 0.000 Nd
0.323 0.323 0.930 Nd
0.403 0.403 0.465 Nd
0.597 0.597 0.535 Nd
0.677 0.677 0.070 Nd
0.216 0.216 0.352 Ho
0.784 0.784 0.648 Ho
0.140 0.140 0.795 Er
0.465 0.465 0.740 Er
0.535 0.535 0.260 Er
0.860 0.860 0.205 Er
```

Summary:
* space group: C2/m (12)
* magnetic moment: 0.000 μB/cell
* DFT formation energy: 80 kJ/mol of formula units
* E_tot: -50.42 eV per cell

8.
Computed, not measured: Nd5HoEr after structural relaxation at the PBE-GGA level of DFT.

```
Nd5HoEr
1.0
3.095 -8.804 0.000
3.095 8.804 0.000
-1.779 0.000 8.915
Nd Ho Er
10 2 2
Direct
0.016 0.387 0.646 Nd
0.140 0.860 0.750 Nd
0.237 0.540 0.035 Nd
0.387 0.016 0.146 Nd
0.460 0.763 0.465 Nd
0.540 0.237 0.535 Nd
0.613 0.984 0.854 Nd
0.763 0.460 0.965 Nd
0.860 0.140 0.250 Nd
0.984 0.613 0.354 Nd
0.000 0.000 0.000 Ho
0.000 0.000 0.500 Ho
0.489 0.511 0.750 Er
0.511 0.489 0.250 Er
```

Summary:
* space group: C2/c (15)
* magnetic moment: 0.000 μB/cell
* DFT formation energy: 119 kJ/mol of formula units
* E_tot: -63.50 eV per cell

9.
Computed, not measured: NdHo7Er5 after structural relaxation at the PBE-GGA level of DFT.

```
NdHo7Er5
1.0
-3.325 5.526 5.741
3.325 -5.526 5.741
3.325 5.526 -5.741
Nd Ho Er
1 7 5
Direct
0.000 0.000 0.000 Nd
0.222 0.552 0.670 Ho
0.303 0.303 0.000 Ho
0.380 0.052 0.328 Ho
0.609 0.609 0.000 Ho
0.724 0.052 0.672 Ho
0.799 0.299 0.500 Ho
0.882 0.552 0.330 Ho
0.031 0.035 0.464 Er
0.031 0.567 0.995 Er
0.304 0.804 0.500 Er
0.572 0.035 0.005 Er
0.572 0.567 0.536 Er
```

Summary:
* space group: Imm2 (44)
* magnetic moment: 0.001 μB/cell
* DFT formation energy: 317 kJ/mol of formula units
* E_tot: -56.34 eV per cell

10.
Computed, not measured: Nd4Ho2Er5 after structural relaxation at the PBE-GGA level of DFT.

```
Nd4Ho2Er5
1.0
9.556 -2.821 0.000
9.556 2.821 0.000
-0.097 0.000 6.620
Nd Ho Er
4 2 5
Direct
0.021 0.021 0.287 Nd
0.306 0.306 0.927 Nd
0.694 0.694 0.073 Nd
0.979 0.979 0.713 Nd
0.402 0.402 0.445 Ho
0.598 0.598 0.555 Ho
0.130 0.130 0.889 Er
0.209 0.209 0.402 Er
0.500 0.500 0.000 Er
0.791 0.791 0.598 Er
0.870 0.870 0.111 Er
```

Summary:
* space group: C2/m (12)
* magnetic moment: 0.012 μB/cell
* DFT formation energy: 113 kJ/mol of formula units
* E_tot: -49.87 eV per cell

11.
Computed, not measured: NdHo4Er after structural relaxation at the PBE-GGA level of DFT.

```
NdHo4Er
1.0
0.000 4.639 4.639
4.639 0.000 4.639
4.639 4.639 0.000
Nd Ho Er
1 4 1
Direct
0.000 0.000 0.000 Nd
0.126 0.625 0.625 Ho
0.625 0.126 0.625 Ho
0.625 0.625 0.126 Ho
0.625 0.625 0.625 Ho
0.250 0.250 0.250 Er
```

Summary:
* space group: F-43m (216)
* magnetic moment: 0.840 μB/cell
* DFT formation energy: 159 kJ/mol of formula units
* E_tot: -25.99 eV per cell

12.
Computed, not measured: Nd7HoEr4 after structural relaxation at the PBE-GGA level of DFT.

```
Nd7HoEr4
1.0
8.075 -3.000 0.000
8.075 3.000 0.000
-4.208 0.000 8.428
Nd Ho Er
7 1 4
Direct
0.000 0.000 0.000 Nd
0.288 0.288 0.762 Nd
0.289 0.289 0.116 Nd
0.415 0.415 0.553 Nd
0.585 0.585 0.447 Nd
0.711 0.711 0.884 Nd
0.712 0.712 0.238 Nd
0.500 0.500 0.000 Ho
0.070 0.070 0.698 Er
0.170 0.170 0.383 Er
0.830 0.830 0.617 Er
0.930 0.930 0.302 Er
```

Summary:
* space group: C2/m (12)
* magnetic moment: 0.063 μB/cell
* DFT formation energy: 252 kJ/mol of formula units
* E_tot: -53.59 eV per cell